[1]
## ScGaAg3 (PBE)

Data for crystalline ScGaAg3 at its relaxed geometry.

Cell lengths 3.066, 4.663, 13.896 Å; angles 99.66, 90.00, 90.00 degrees
Fractional coordinates of all 10 atoms:
1 Sc 0.500 0.176 0.352
2 Sc 0.500 0.824 0.648
3 Ag 0.500 0.549 0.098
4 Ag 0.000 0.078 0.155
5 Ag 0.000 0.725 0.450
6 Ag 0.000 0.922 0.845
7 Ag 0.500 0.451 0.902
8 Ag 0.000 0.275 0.550
9 Ga 0.000 0.369 0.739
10 Ga 0.000 0.631 0.261

Computed properties:
Energy relative to the lowest polymorph listed for this composition: 0 meV per atom
Symmetry: Cmmm
M_tot: 0.0 μB/cell
Uncorrected energy: -3.690 eV per atom
ΔH_f (0 K): -0.108 eV per atom



[2]
## CeErHfTh (PBE)

Data for crystalline CeErHfTh at its relaxed geometry.

Cell lengths 5.431, 5.431, 5.431 Å; angles 60.00, 60.00, 60.00 degrees
Last column: magnetic moment on the atom in μB.
Fractional coordinates of all 4 atoms:
1 Th 0.750 0.750 0.750  0.03
2 Ce 0.250 0.250 0.250  0.48
3 Er 0.000 0.000 0.000  0.03
4 Hf 0.500 0.500 0.500  0.03

Computed properties:
Symmetry: F-43m
M_tot: 0.7 μB/cell
Uncorrected energy: -6.742 eV per atom
ΔH_f (0 K): 0.226 eV per atom



[3]
## Tm2SbSe (PBE)

Data for crystalline Tm2SbSe at its relaxed geometry.

Cell lengths 4.117, 4.117, 7.519 Å; angles 74.11, 74.11, 60.00 degrees
Fractional coordinates of all 4 atoms:
1 Tm 0.255 0.255 0.235
2 Tm 0.077 0.077 0.770
3 Sb 0.499 0.499 0.503
4 Se 0.669 0.669 0.992

Computed properties:
Energy relative to the lowest polymorph listed for this composition: 63 meV per atom
Symmetry: R3m
M_tot: 0.0 μB/cell
Uncorrected energy: -5.445 eV per atom



[4]
## Nd3SmTh3 (PBE)

Data for crystalline Nd3SmTh3 at its relaxed geometry.

Cell lengths 5.952, 9.627, 9.627 Å; angles 120.00, 90.00, 90.00 degrees
Fractional coordinates of all 14 atoms:
1 Nd 0.250 0.200 0.244
2 Nd 0.250 0.044 0.800
3 Nd 0.750 0.800 0.756
4 Nd 0.250 0.756 0.956
5 Nd 0.750 0.956 0.200
6 Nd 0.750 0.244 0.044
7 Sm 0.250 0.333 0.667
8 Sm 0.750 0.667 0.333
9 Th 0.250 0.490 0.104
10 Th 0.750 0.386 0.490
11 Th 0.750 0.104 0.614
12 Th 0.750 0.510 0.896
13 Th 0.250 0.614 0.510
14 Th 0.250 0.896 0.386

Computed properties:
Symmetry: P6_3/m
M_tot: 0.0 μB/cell
Uncorrected energy: -5.821 eV per atom
ΔH_f (0 K): 0.077 eV per atom



[5]
## ZnCrW2 (PBE)

Data for crystalline ZnCrW2 at its relaxed geometry.

Cell lengths 5.211, 5.084, 2.654 Å; angles 80.56, 79.09, 117.59 degrees
Fractional coordinates of all 4 atoms:
1 Zn 0.000 0.500 0.500
2 W 0.000 0.000 0.000
3 W 0.500 0.000 0.500
4 Cr 0.500 0.500 0.000

Computed properties:
Symmetry: C2/m
M_tot: 0.0 μB/cell
Uncorrected energy: -8.927 eV per atom
ΔH_f (0 K): 0.274 eV per atom



[6]
## Ba2LaCd (PBE)

Data for crystalline Ba2LaCd at its relaxed geometry.

Cell lengths 4.116, 4.116, 10.233 Å; angles 90.00, 90.00, 89.98 degrees
Fractional coordinates of all 4 atoms:
1 Cd 0.500 0.500 0.250
2 La 0.500 0.500 0.750
3 Ba 0.000 0.000 0.039
4 Ba 0.000 0.000 0.461

Computed properties:
Energy relative to the lowest polymorph listed for this composition: 84 meV per atom
Symmetry: P4/mmm
M_tot: 0.0 μB/cell
Uncorrected energy: -2.442 eV per atom
ΔH_f (0 K): -0.020 eV per atom



[7]
## CaCoSi3Ni (PBE)

Data for crystalline CaCoSi3Ni at its relaxed geometry.

Cell lengths 5.611, 6.029, 6.722 Å; angles 116.65, 90.00, 90.00 degrees
Fractional coordinates of all 12 atoms:
1 Ca 0.250 0.760 0.520
2 Ca 0.750 0.240 0.480
3 Co 0.750 0.962 0.924
4 Co 0.250 0.038 0.076
5 Si 0.000 0.709 0.000
6 Si 0.000 0.291 0.000
7 Si 0.500 0.709 0.000
8 Si 0.500 0.291 0.000
9 Si 0.750 0.788 0.577
10 Si 0.250 0.212 0.423
11 Ni 0.250 0.388 0.776
12 Ni 0.750 0.612 0.224

Computed properties:
Symmetry: Cmcm
M_tot: 0.0 μB/cell
Uncorrected energy: -5.502 eV per atom



[8]
## DyEr3Th (PBE)

Data for crystalline DyEr3Th at its relaxed geometry.

Cell lengths 6.321, 5.530, 10.850 Å; angles 90.00, 90.00, 115.59 degrees
Fractional coordinates of all 10 atoms:
1 Dy 0.462 0.928 0.750
2 Dy 0.538 0.072 0.250
3 Er 0.190 0.841 0.488
4 Er 0.800 0.698 0.250
5 Er 0.190 0.841 0.012
6 Er 0.200 0.302 0.750
7 Er 0.810 0.159 0.988
8 Er 0.810 0.159 0.512
9 Th 0.167 0.359 0.250
10 Th 0.833 0.641 0.750

Computed properties:
Energy relative to the lowest polymorph listed for this composition: 388 meV per atom
Symmetry: P2_1/m
M_tot: 0.0 μB/cell
Uncorrected energy: -4.731 eV per atom
ΔH_f (0 K): 0.411 eV per atom